(1)
DFT (PBE-GGA) results for an optimized crystal structure of TiAs2HBr.

a = 3.970 Å, b = 3.970 Å, c = 5.336 Å
α = 90.00°, β = 90.00°, γ = 90.00°
Each line ends with the local moment (μB).
Atoms (fractional coordinates):
H (0.000, 0.000, 0.000)  -0.01
As (0.000, 0.500, 0.000)  -0.07
As (0.500, 0.000, 0.000)  -0.07
Br (0.000, 0.000, 0.500)  -0.04
Ti (0.500, 0.500, 0.500)  1.07

**Space group**: No. 123
**Crystal system**: tetragonal

***

(2)
DFT (PBE-GGA) results for an optimized crystal structure of YTm2Co.

a = 3.356 Å, b = 3.356 Å, c = 8.799 Å
α = 90.00°, β = 90.00°, γ = 90.00°
Each line ends with the local moment (μB).
Atoms (fractional coordinates):
Y (0.500, 0.500, 0.500)  0.10
Tm (0.000, 0.000, 0.819)  -0.08
Tm (0.000, 0.000, 0.181)  -0.08
Co (0.500, 0.500, 0.000)  0.83

**Space group**: No. 123
**Calculated formation energy**: -0.092 eV per atom
**Crystal system**: tetragonal

***

(3)
DFT (PBE-GGA) results for an optimized crystal structure of RbHg2Au.

a = 3.944 Å, b = 3.944 Å, c = 7.711 Å
α = 90.00°, β = 90.00°, γ = 90.00°
Atoms (fractional coordinates):
Au (0.500, 0.500, 0.000)
Hg (0.000, 0.000, 0.803)
Hg (0.000, 0.000, 0.197)
Rb (0.500, 0.500, 0.500)

**Space group**: No. 123
**Calculated formation energy**: -0.136 eV per atom
**Crystal system**: tetragonal

***

| no. | ρ (g/cm³) | energy above the most stable polymorph in this dataset (eV/f.u.) |
| --- | --- | --- |
| 1 | 5.5 | 0.00 |
| 2 | 8.1 | 0.36 |
| 3 | 9.5 | 0.48 |